A plane-wave DFT calculation with PBE was carried out for HfCrCuS4 after structural relaxation.

Cell lengths 6.6785, 7.0424, 10.9645 Å; angles 90.00, 90.00, 90.00 degrees
Last column: nearest neighbours and their distance in Å.
Atoms (fractional coordinates):
Cu: 0.8852 0.0000 0.3111  4 S 2.33-2.53
S: 0.8676 0.7653 0.8499  2 Hf 2.50-2.78, 1 Cu 2.53, 2 Cr 2.61-2.63
S: 0.0124 0.5000 0.1001  2 Cr 2.27-2.32, 1 Hf 2.41
S: 0.8676 0.2347 0.8499  2 Hf 2.50-2.78, 1 Cu 2.53, 2 Cr 2.61-2.63
S: 0.4309 0.0000 0.9051  1 Cr 2.31, 1 Cu 2.31, 1 Hf 2.57
S: 0.3733 0.7626 0.6577  1 Cu 2.45, 2 Cr 2.55-2.63, 2 Hf 2.56-2.64
Hf: 0.7745 0.0000 0.0115  4 S 2.33-2.57
S: 0.1324 0.2653 0.3499  2 Hf 2.50-2.78, 1 Cu 2.53, 2 Cr 2.61-2.63
Hf: 0.2255 0.5000 0.5115  4 S 2.33-2.57
Cr: 0.7152 0.5000 0.9903  4 S 2.30-2.55
Cr: 0.2848 0.0000 0.4903  4 S 2.30-2.55
Cu: 0.1148 0.5000 0.8111  4 S 2.33-2.53
S: 0.3733 0.2374 0.6577  1 Cu 2.45, 2 Cr 2.55-2.63, 2 Hf 2.56-2.64
S: 0.5691 0.5000 0.4051  1 Cr 2.31, 1 Cu 2.31, 1 Hf 2.57
S: 0.3761 0.5000 0.9513  1 Cr 2.30, 1 Cu 2.33
Hf: 0.6583 0.0000 0.6904  4 S 2.41-2.63
S: 0.9876 0.0000 0.6001  2 Cr 2.27-2.32, 1 Hf 2.41
Cr: 0.1499 0.0000 0.7825  2 S 2.27-2.31
S: 0.6267 0.7374 0.1577  1 Cu 2.45, 2 Cr 2.55-2.63, 2 Hf 2.56-2.64
Cu: 0.3962 0.0000 0.1150  4 S 2.20-2.45
S: 0.6239 0.0000 0.4513  1 Cr 2.30, 1 Cu 2.33
S: 0.0678 0.0000 0.1274  2 Cu 2.20-2.35, 1 Hf 2.33
S: 0.6267 0.2626 0.1577  1 Cu 2.45, 2 Cr 2.55-2.63, 2 Hf 2.56-2.64
Hf: 0.3417 0.5000 0.1904  4 S 2.41-2.63
Cu: 0.6038 0.5000 0.6150  4 S 2.20-2.45
S: 0.9322 0.5000 0.6274  2 Cu 2.20-2.35, 1 Hf 2.33
Cr: 0.8501 0.5000 0.2825  2 S 2.27-2.31
S: 0.1324 0.7347 0.3499  2 Hf 2.50-2.78, 1 Cu 2.53, 2 Cr 2.61-2.63

Values from the calculation:
Excess energy over the best structure of this formula in the dataset   0.338 eV per atom
Total energy   -6.405 eV/atom
Spin magnetization   11.984 μB per cell
D(E_F)   8.9 states/eV per cell
Raw formation energy   -0.66 eV per atom



A plane-wave DFT calculation with PBE was carried out for Tb3Nd7Th after structural relaxation.

Cell lengths 10.2457, 10.2801, 11.2678 Å; angles 90.00, 89.99, 139.64 degrees
Last column: nearest neighbours and their distance in Å.
Atoms (fractional coordinates):
Nd: 0.0867 0.4136 0.9870  5 Nd 3.31-3.63, 3 Tb 3.48-3.62, 1 Th 3.61
Nd: 0.3399 0.1633 0.2498  5 Nd 3.38-3.63, 4 Tb 3.42-3.74, 2 Th 3.73-3.74
Nd: 0.8302 0.6559 0.7502  3 Nd 3.31-3.38, 2 Th 3.70
Tb: 0.0000 0.0000 0.5000  10 Nd 3.47-3.76, 2 Th 3.54
Tb: 0.7695 0.2446 0.7501  2 Tb 3.40-3.68, 6 Nd 3.42-3.78
Nd: 0.9147 0.5881 0.4872  5 Nd 3.31-3.63, 3 Tb 3.48-3.62, 1 Th 3.61
Tb: 0.0000 0.0000 0.0000  10 Nd 3.46-3.75, 2 Th 3.54
Nd: 0.2006 0.2998 0.7500  4 Nd 3.45-3.63, 2 Th 3.46, 2 Tb 3.46-3.47
Th: 0.5000 0.5000 0.0000  10 Nd 3.46-3.73, 2 Tb 3.54
Tb: 0.2469 0.7274 0.7495  2 Tb 3.40-3.68, 6 Nd 3.45-3.74
Nd: 0.4127 0.0945 0.9541  3 Tb 3.53-3.58, 1 Th 3.57, 4 Nd 3.58-3.65
Nd: 0.5859 0.9039 0.4545  3 Tb 3.53-3.59, 1 Th 3.57, 4 Nd 3.57-3.65
Tb: 0.7531 0.2726 0.2505  2 Tb 3.40-3.68, 6 Nd 3.45-3.74
Nd: 0.7994 0.7002 0.2500  4 Nd 3.46-3.63, 2 Th 3.46, 2 Tb 3.46-3.47
Tb: 0.2305 0.7554 0.2499  2 Tb 3.40-3.68, 6 Nd 3.42-3.78
Th: 0.5000 0.5000 0.5000  10 Nd 3.46-3.74, 2 Tb 3.54
Nd: 0.5873 0.9055 0.0458  3 Tb 3.53-3.58, 1 Th 3.57, 4 Nd 3.58-3.65
Nd: 0.1698 0.3441 0.2498  3 Nd 3.31-3.38, 2 Th 3.70
Nd: 0.0853 0.4119 0.5128  5 Nd 3.31-3.63, 3 Tb 3.48-3.62, 1 Th 3.61
Nd: 0.9132 0.5864 0.0130  5 Nd 3.31-3.63, 3 Tb 3.48-3.62, 1 Th 3.61
Nd: 0.4142 0.0961 0.5454  3 Tb 3.53-3.59, 1 Th 3.57, 4 Nd 3.57-3.65
Nd: 0.6601 0.8367 0.7502  5 Nd 3.38-3.63, 4 Tb 3.42-3.74, 2 Th 3.73-3.74

Values from the calculation:
Excess energy over the best structure of this formula in the dataset   0.000 eV per atom
Total energy   -4.845 eV/atom
Spin magnetization   0.000 μB per cell
Energy of formation from the pure elements   0.126 eV/atom
D(E_F)   34.7 states/eV per cell



A plane-wave DFT calculation with PBE was carried out for PuIn2Pt2 after structural relaxation.

Cell lengths 3.9290, 6.8523, 8.6346 Å; angles 90.00, 90.00, 106.66 degrees
Last column: nearest neighbours and their distance in Å.
Atoms (fractional coordinates):
In: 0.6873 0.3746 0.4690  5 Pt 2.69-2.78
In: 0.1176 0.2352 0.2007  4 Pt 2.66-2.83
In: 0.8824 0.7648 0.7007  4 Pt 2.66-2.83
Pu: 0.4091 0.8182 0.3440  4 Pt 2.96-3.01
In: 0.3127 0.6254 0.9690  5 Pt 2.69-2.78
Pt: 0.0396 0.0792 0.5059  4 In 2.66-2.83, 1 Pt 2.93, 2 Pu 2.96
Pt: 0.7707 0.5415 0.1848  5 In 2.69-2.81, 1 Pt 2.93, 2 Pu 3.01
Pt: 0.9604 0.9208 0.0059  4 In 2.66-2.83, 1 Pt 2.93, 2 Pu 2.96
Pt: 0.2293 0.4585 0.6848  5 In 2.69-2.81, 1 Pt 2.93, 2 Pu 3.01
Pu: 0.5909 0.1818 0.8440  4 Pt 2.96-3.01

Values from the calculation:
Excess energy over the best structure of this formula in the dataset   0.000 eV per atom
Total energy   -6.941 eV/atom
Spin magnetization   11.032 μB per cell
Energy of formation from the pure elements   -0.563 eV/atom
D(E_F)   27.4 states/eV per cell